Compound: NbZn2Tc2
Source: Alexandria via LeMat-Bulk
Functional: PBE
Structure: optimized geometry

Output
M_tot   0.00 μB per cell
Formation enthalpy at 0 K   332 meV per atom
Distance to the lowest polymorph of the same formula   0.201 eV per atom
VASP energy   -63.375 eV per cell

Lattice parameters (Å, degrees): 3.6639 3.6639 11.7685 90.00 90.00 90.00
Closest atoms and distances in Å follow each position.
Space group I4/mmm (No. 139)
One atom of each set of equivalent atoms:
Nb  0.0000  0.0000  0.0000 x2  8 Zn 2.83
Zn  0.0000  0.0000  0.4041 x4  1 Zn 2.26
Tc  0.0000  0.5000  0.2500 x4  4 Zn 2.58, 4 Tc 2.59

***

Compound: La3AgHg
Source: Alexandria via LeMat-Bulk
Functional: PBE
Structure: optimized geometry

Output
M_tot   1.92 μB per cell
Formation enthalpy at 0 K   -300 meV per atom
Distance to the lowest polymorph of the same formula   0.000 eV per atom
VASP energy   -77.734 eV per cell

Lattice parameters (Å, degrees): 5.4821 20.1568 5.4885 90.00 90.00 90.00
Closest atoms and distances in Å follow each position.
Space group Cmcm (No. 63)
One atom of each set of equivalent atoms:
La  0.0000  0.0604  0.2500 x4  2 Ag 3.29, 2 Hg 3.30, 2 La 3.67
La  0.0000  0.2497  0.2500 x4  4 Hg 3.38-3.39, 4 Ag 3.39-3.40, 1 La 3.79
La  0.0000  0.4377  0.2500 x4  2 Ag 3.27, 2 Hg 3.28
Ag  0.0000  0.3491  0.7500 x4  8 La 3.27-3.40
Hg  0.0000  0.1514  0.7500 x4  8 La 3.28-3.39

***

Compound: BaYNb2Cl
Source: Alexandria via LeMat-Bulk
Functional: PBE
Structure: optimized geometry

Output
M_tot   0.81 μB per cell
Uncorrected formation energy   1.2283 eV/atom
VASP energy   -24.232 eV per cell

Lattice parameters (Å, degrees): 4.9371 4.9371 7.6387 90.00 90.00 90.00
Closest atoms and distances in Å follow each position.
Space group P4/mmm (No. 123)
One atom of each set of equivalent atoms:
Ba  0.0000  0.0000  0.0000 x1  4 Cl 3.49, 2 Y 3.82
Y  0.0000  0.0000  0.5000 x1  4 Nb 2.47
Nb  0.0000  0.5000  0.5000 x2  2 Y 2.47
Cl  0.5000  0.5000  0.0000 x1  4 Ba 3.49

***

Compound: Nd6SmErTm2
Source: Alexandria via LeMat-Bulk
Functional: PBE
Structure: optimized geometry

Output
M_tot   0.00 μB per cell
Formation enthalpy at 0 K   115 meV per atom
VASP energy   -182.716 eV per cell

Lattice parameters (Å, degrees): 9.3127 15.2567 9.6206 90.00 96.96 90.00
Closest atoms and distances in Å follow each position.
Space group C2/c (No. 15)
One atom of each set of equivalent atoms:
Nd  0.0616  0.1764  0.4452 x8  7 Nd 3.46-3.79, 1 Tm 3.51, 2 Sm 3.67-3.79
Nd  0.0961  0.3899  0.6172 x8  4 Nd 3.29-3.65, 3 Tm 3.31-3.49, 2 Er 3.45-3.55
Nd  0.2165  0.2230  0.8137 x8  3 Nd 3.29-3.66, 1 Er 3.46, 1 Tm 3.48, 1 Sm 3.58
Sm  0.0000  0.0296  0.7500 x4  4 Tm 3.43-3.49, 6 Nd 3.58-3.79
Er  0.0000  0.4116  0.2500 x4  6 Nd 3.45-3.55, 2 Tm 3.52
Tm  0.2489  0.4515  0.9517 x8  5 Nd 3.31-3.51, 2 Sm 3.43-3.49, 1 Er 3.52

***

Compound: Tb5Pt2Rh2
Source: Alexandria via LeMat-Bulk
Functional: PBE
Structure: optimized geometry

Output
M_tot   0.00 μB per cell
Formation enthalpy at 0 K   -970 meV per atom
VASP energy   -234.649 eV per cell

Lattice parameters (Å, degrees): 14.7857 7.4912 7.5321 90.00 90.00 90.00
Closest atoms and distances in Å follow each position.
Space group Cmce (No. 64)
One atom of each set of equivalent atoms:
Tb  0.0000  0.0000  0.0000 x4  4 Rh 2.92-2.96, 2 Pt 3.00
Tb  0.1360  0.1717  0.3327 x16  3 Rh 2.92-3.05, 3 Pt 2.93-2.99
Pt  0.2027  0.0000  0.0000 x8  7 Tb 2.93-3.00
Rh  0.0000  0.1324  0.6303 x8  1 Rh 2.79, 8 Tb 2.92-3.05

***

Compound: Ag2Bi2Se
Source: Alexandria via LeMat-Bulk
Functional: PBE
Structure: optimized geometry

Output
M_tot   0.00 μB per cell
Distance to the lowest polymorph of the same formula   0.000 eV per atom
Uncorrected formation energy   0.1197 eV/atom
VASP energy   -32.700 eV per cell

Lattice parameters (Å, degrees): 3.9087 3.9087 16.5072 90.00 90.00 90.00
Closest atoms and distances in Å follow each position.
Space group I4/mmm (No. 139)
One atom of each set of equivalent atoms:
Ag  0.0000  0.5000  0.2500 x4  4 Ag 2.76
Bi  0.0000  0.0000  0.1033 x4  4 Ag 3.11, 4 Se 3.25, 1 Bi 3.41
Se  0.0000  0.0000  0.5000 x2  8 Bi 3.25

***

Compound: Mn4VRu
Source: Alexandria via LeMat-Bulk
Functional: PBE
Structure: optimized geometry

Output
M_tot   0.00 μB per cell
Formation enthalpy at 0 K   -48 meV per atom
VASP energy   -221.434 eV per cell

Lattice parameters (Å, degrees): 6.5684 6.5684 6.5684 90.00 90.00 90.00
Closest atoms and distances in Å follow each position.
Space group F-43m (No. 216)
One atom of each set of equivalent atoms:
Mn  0.1238  0.1238  0.1238 x16  6 Mn 2.30-2.34
V  0.2500  0.2500  0.7500 x4  12 Mn 2.72, 4 Ru 2.84
Ru  0.0000  0.0000  0.5000 x4  12 Mn 2.73, 4 V 2.84

***

Compound: Dy7Er4Mg
Source: Alexandria via LeMat-Bulk
Functional: PBE
Structure: optimized geometry

Output
M_tot   0.00 μB per cell
Formation enthalpy at 0 K   22 meV per atom
Distance to the lowest polymorph of the same formula   0.000 eV per atom
VASP energy   -51.798 eV per cell

Lattice parameters (Å, degrees): 3.5229 3.5229 34.1434 90.00 90.00 120.00
Closest atoms and distances in Å follow each position.
Space group P-3m1 (No. 164)
One atom of each set of equivalent atoms:
Dy  0.0000  0.0000  0.0000 x1  6 Dy 3.52, 6 Er 3.52
Dy  0.0000  0.0000  0.2533 x2  3 Er 3.52, 9 Dy 3.52-3.54
Dy  0.3333  0.6667  0.1684 x2  3 Er 3.52, 9 Dy 3.52-3.54
Dy  0.3333  0.6667  0.4209 x2  3 Mg 3.38, 3 Er 3.50, 6 Dy 3.52
Er  0.3333  0.6667  0.6626 x2  6 Dy 3.50-3.52, 6 Er 3.52
Er  0.3333  0.6667  0.9157 x2  6 Dy 3.52, 6 Er 3.52
Mg  0.0000  0.0000  0.5000 x1  6 Dy 3.38, 6 Mg 3.52

***

Compound: ScTaHg2
Source: Alexandria via LeMat-Bulk
Functional: PBE
Structure: optimized geometry

Output
M_tot   0.00 μB per cell
Formation enthalpy at 0 K   104 meV per atom
Distance to the lowest polymorph of the same formula   0.059 eV per atom
VASP energy   -55.114 eV per cell

Lattice parameters (Å, degrees): 3.1968 3.1968 29.1172 90.00 90.00 120.00
Closest atoms and distances in Å follow each position.
Space group R3m (No. 160, hexagonal axes)
One atom of each set of equivalent atoms:
Sc  0.0000  0.0000  0.0000 x3  3 Ta 2.95, 3 Hg 3.06, 6 Sc 3.20
Ta  0.0000  0.0000  0.7459 x3  3 Sc 2.95, 3 Hg 3.01, 6 Ta 3.20
Hg  0.0000  0.0000  0.2493 x3  3 Sc 3.06, 9 Hg 3.17-3.20
Hg  0.0000  0.0000  0.4942 x3  3 Ta 3.01, 9 Hg 3.17-3.20

***

Compound: NaLi2SbO
Source: Alexandria via LeMat-Bulk
Functional: PBE
Structure: optimized geometry

Output
M_tot   0.00 μB per cell
Uncorrected formation energy   -0.3022 eV/atom
VASP energy   -15.738 eV per cell

Lattice parameters (Å, degrees): 5.2273 5.2273 4.3652 90.00 90.00 90.00
Closest atoms and distances in Å follow each position.
Space group P4/mmm (No. 123)
One atom of each set of equivalent atoms:
Na  0.0000  0.0000  0.0000 x1  8 Li 3.41, 4 O 3.70
Li  0.0000  0.5000  0.5000 x2  2 Sb 2.61
Sb  0.5000  0.5000  0.5000 x1  2 O 2.18
O  0.5000  0.5000  0.0000 x1  2 Sb 2.18

***

Compound: YZrAg2
Source: Alexandria via LeMat-Bulk
Functional: PBE
Structure: optimized geometry

Output
M_tot   4.61 μB per cell
Formation enthalpy at 0 K   152 meV per atom
Distance to the lowest polymorph of the same formula   0.269 eV per atom
VASP energy   -80.429 eV per cell

Lattice parameters (Å, degrees): 6.9979 6.9979 6.9979 90.00 90.00 90.00
Closest atoms and distances in Å follow each position.
Space group F-43m (No. 216)
One atom of each set of equivalent atoms:
Y  0.0000  0.0000  0.0000 x4  4 Zr 3.03, 4 Ag 3.03
Zr  0.2500  0.2500  0.7500 x4  4 Y 3.03, 4 Ag 3.03
Ag  0.0000  0.0000  0.5000 x4  4 Zr 3.03, 4 Ag 3.03
Ag  0.2500  0.2500  0.2500 x4  4 Y 3.03, 4 Ag 3.03

***

Compound: RbCeInO4
Source: Alexandria via LeMat-Bulk
Functional: PBE
Structure: optimized geometry

Output
M_tot   0.00 μB per cell
Uncorrected formation energy   -2.2088 eV/atom
VASP energy   -179.737 eV per cell

Lattice parameters (Å, degrees): 6.8623 7.3088 10.0682 90.00 90.00 90.00
Closest atoms and distances in Å follow each position.
Space group Imma (No. 74)
One atom of each set of equivalent atoms:
Rb  0.0000  0.2500  0.1382 x4  4 O 2.60-2.63
Ce  0.0000  0.0000  0.5000 x4  6 O 2.28-2.33
In  0.2500  0.2500  0.7500 x4  6 O 2.23-2.37
O  0.0000  0.0583  0.7276 x8  2 In 2.23, 1 Ce 2.33
O  0.1977  0.2500  0.5175 x8  2 Ce 2.28, 1 In 2.37